# 1
VASP calculation (PBE-GGA) on crystalline TbCeZnPt at its relaxed geometry.

Values from the calculation:
The total energy comes out at -20.51 eV per cell. The value obtained for the formation energy is -658 meV per atom. As for the total magnetization: 0.168 μB/atom.

Unit cell a=5.052 b=5.052 c=5.052 alpha=60.00 beta=60.00 gamma=60.00
Each line ends with the local moment (μB).
Positions (direct):
Zn 0.750 0.750 0.750  0.01
Pt 0.250 0.250 0.250  -0.01
Ce 0.500 0.500 0.500  0.54
Tb 0.000 0.000 0.000  0.04

***

# 2
VASP calculation (PBE-GGA) on crystalline CrAsSe4 at its relaxed geometry.

Values from the calculation:
The total energy comes out at -23.38 eV per cell. For the uncorrected formation energy, the calculation gives 78 kJ/mol of atoms. As for the total magnetization: 0.695 μB/atom.

Unit cell a=5.661 b=5.661 c=5.661 alpha=60.00 beta=60.00 gamma=60.00
Each line ends with the local moment (μB).
Positions (direct):
Se 0.375 0.875 0.375  0.00
Se 0.375 0.375 0.875  0.00
As 0.750 0.750 0.750  -0.18
Se 0.875 0.375 0.375  0.00
Cr 0.000 0.000 0.000  4.01
Se 0.375 0.375 0.375  0.00

***

# 3
VASP calculation (PBE-GGA) on crystalline K2InCo at its relaxed geometry.

Values from the calculation:
The total energy comes out at -16.91 eV per cell. The value obtained for the formation energy is 897 meV per atom. As for the total magnetization: 0.000 μB/atom.

Unit cell a=4.250 b=4.250 c=12.341 alpha=80.08 beta=80.08 gamma=90.00
Positions (direct):
K 0.875 0.864 0.750
In 0.000 0.000 0.000
Co 0.250 0.750 0.500
K 0.614 0.125 0.250
K 0.375 0.386 0.750
Co 0.500 0.500 0.000
K 0.136 0.625 0.250
In 0.750 0.250 0.500

***

# 4
VASP calculation (PBE-GGA) on crystalline In3Hg2Br3 at its relaxed geometry.

Values from the calculation:
The total energy comes out at -34.64 eV per cell. For the uncorrected formation energy, the calculation gives -42 kJ/mol of atoms. As for the total magnetization: 0.000 μB/atom.

Unit cell a=6.191 b=6.374 c=16.497 alpha=89.55 beta=90.00 gamma=119.05
Positions (direct):
Br 0.079 0.157 0.116
Hg 0.585 0.171 0.926
Hg 0.922 0.845 0.630
In 0.271 0.541 0.249
Hg 0.409 0.818 0.419
Br 0.741 0.481 0.258
Br 0.246 0.491 0.749
In 0.187 0.374 0.558
Br 0.590 0.180 0.580
In 0.705 0.411 0.751
Br 0.081 0.163 0.381
In 0.820 0.639 0.427
Hg 0.415 0.830 0.078
In 0.823 0.646 0.065
Br 0.923 0.845 0.888
In 0.184 0.367 0.931

***

# 5
VASP calculation (PBE-GGA) on crystalline CrFe2P at its relaxed geometry.

Values from the calculation:
The total energy comes out at -32.42 eV per cell. The value obtained for the formation energy is -115 meV per atom. As for the total magnetization: 0.387 μB/atom.

Unit cell a=4.298 b=4.298 c=4.063 alpha=73.89 beta=73.89 gamma=37.27
Each line ends with the local moment (μB).
Positions (direct):
P 0.496 0.496 0.567  -0.01
Fe 0.769 0.769 0.679  0.66
Fe 0.992 0.992 0.051  -0.18
Cr 0.244 0.244 0.203  1.05

***

# 6
VASP calculation (PBE-GGA) on crystalline TbEu2Br at its relaxed geometry.

Values from the calculation:
The total energy comes out at -29.17 eV per cell. For the uncorrected formation energy, the calculation gives -56 kJ/mol of atoms. As for the total magnetization: 3.701 μB/atom.

Unit cell a=3.687 b=3.687 c=10.057 alpha=90.00 beta=90.00 gamma=90.00
Each line ends with the local moment (μB).
Positions (direct):
Tb 0.500 0.500 0.500  0.17
Eu 0.000 0.000 0.776  6.96
Eu 0.000 0.000 0.224  6.96
Br 0.500 0.500 0.000  -0.02

***

# 7
VASP calculation (PBE-GGA) on crystalline NaYTh at its relaxed geometry.

Values from the calculation:
The total energy comes out at -27.28 eV per cell. The value obtained for the formation energy is 521 meV per atom. As for the total magnetization: 0.000 μB/atom.

Unit cell a=6.601 b=6.669 c=6.378 alpha=75.16 beta=58.84 gamma=60.33
Positions (direct):
Na 0.124 0.752 0.000
Y 0.325 0.000 0.349
Th 0.250 0.500 0.500
Th 0.750 0.500 0.500
Na 0.876 0.248 0.000
Y 0.675 0.000 0.651

***

# 8
VASP calculation (PBE-GGA) on crystalline TbErPb at its relaxed geometry.

Values from the calculation:
The total energy comes out at -12.11 eV per cell. The value obtained for the formation energy is 265 meV per atom. As for the total magnetization: 0.255 μB/atom.

Unit cell a=3.335 b=3.335 c=9.241 alpha=100.40 beta=100.40 gamma=90.00
Each line ends with the local moment (μB).
Positions (direct):
Er 0.136 0.136 0.273  0.38
Tb 0.945 0.945 0.890  0.21
Pb 0.769 0.769 0.538  0.01

***

# 9
VASP calculation (PBE-GGA) on crystalline KSr2Br at its relaxed geometry.

Values from the calculation:
The total energy comes out at -7.57 eV per cell. For the uncorrected formation energy, the calculation gives -35 kJ/mol of atoms. As for the total magnetization: 0.002 μB/atom.

Unit cell a=6.969 b=5.388 c=5.388 alpha=90.00 beta=90.00 gamma=90.00
Positions (direct):
Sr 0.000 0.500 0.500
Sr 0.000 0.000 0.000
Br 0.500 0.500 0.000
K 0.500 0.000 0.500

***

# 10
VASP calculation (PBE-GGA) on crystalline CdTe2Ir at its relaxed geometry.

Values from the calculation:
The total energy comes out at -16.11 eV per cell. For the uncorrected formation energy, the calculation gives -1 kJ/mol of atoms. As for the total magnetization: 0.000 μB/atom.

Unit cell a=3.992 b=4.805 c=6.164 alpha=112.60 beta=90.00 gamma=90.00
Positions (direct):
Ir 0.500 0.782 0.690
Cd 0.000 0.594 0.315
Te 0.500 0.197 0.517
Te 0.000 0.926 0.978

***

# 11
VASP calculation (PBE-GGA) on crystalline Y4AsAu at its relaxed geometry.

Values from the calculation:
The total energy comes out at -32.14 eV per cell. The value obtained for the formation energy is 274 meV per atom. As for the total magnetization: 0.000 μB/atom.

Unit cell a=6.143 b=6.143 c=6.143 alpha=60.00 beta=60.00 gamma=60.00
Positions (direct):
Y 0.375 0.375 0.375
Au 0.000 0.000 0.000
As 0.750 0.750 0.750
Y 0.375 0.874 0.375
Y 0.874 0.375 0.375
Y 0.375 0.375 0.874

***

# 12
VASP calculation (PBE-GGA) on crystalline KGePbCl5 at its relaxed geometry.

Values from the calculation:
The total energy comes out at -56.72 eV per cell. For the uncorrected formation energy, the calculation gives -117 kJ/mol of atoms. As for the total magnetization: 0.000 μB/atom.

Unit cell a=7.598 b=7.598 c=11.208 alpha=111.32 beta=111.32 gamma=95.68
Positions (direct):
Cl 0.044 0.956 0.250
K 0.324 0.676 0.250
Cl 0.361 0.885 0.590
Cl 0.639 0.115 0.410
Cl 0.599 0.763 0.906
Ge 0.731 0.269 0.250
Cl 0.885 0.361 0.090
Pb 0.000 0.000 0.000
Cl 0.237 0.401 0.594
Cl 0.401 0.237 0.094
Ge 0.269 0.731 0.750
Cl 0.956 0.044 0.750
Pb 0.000 0.000 0.500
K 0.676 0.324 0.750
Cl 0.763 0.599 0.406
Cl 0.115 0.639 0.910

***

# 13
VASP calculation (PBE-GGA) on crystalline PuRhAu at its relaxed geometry.

Values from the calculation:
The total energy comes out at -25.85 eV per cell. The value obtained for the formation energy is -296 meV per atom. As for the total magnetization: 1.675 μB/atom.

Unit cell a=3.221 b=4.665 c=4.665 alpha=120.00 beta=90.00 gamma=90.00
Each line ends with the local moment (μB).
Positions (direct):
Pu 0.667 0.333 0.667  5.19
Au 0.166 0.667 0.333  -0.02
Rh 0.167 0.000 0.000  -0.42

***

# 14
VASP calculation (PBE-GGA) on crystalline UGeCl6 at its relaxed geometry.

Values from the calculation:
The total energy comes out at -37.79 eV per cell. For the uncorrected formation energy, the calculation gives -130 kJ/mol of atoms. As for the total magnetization: 0.250 μB/atom.

Unit cell a=6.743 b=6.746 c=7.256 alpha=62.26 beta=62.28 gamma=59.91
Each line ends with the local moment (μB).
Positions (direct):
Cl 0.898 0.608 0.249  -0.02
Ge 0.500 0.500 0.500  0.01
Cl 0.755 0.102 0.751  -0.02
U 0.000 0.000 0.000  2.05
Cl 0.392 0.757 0.750  -0.02
Cl 0.245 0.898 0.249  -0.02
Cl 0.102 0.392 0.751  -0.02
Cl 0.608 0.243 0.250  -0.02